(1)
TaNiSCl2 | PBE | optimized geometry

CIF file:
```
data_TaNiSCl2
_cell_length_a 4.808
_cell_length_b 4.808
_cell_length_c 4.802
_cell_angle_alpha 90.00
_cell_angle_beta 90.00
_cell_angle_gamma 90.00
_symmetry_space_group_name_H-M 'P 4/m m m'
_symmetry_Int_Tables_number 123
_symmetry_space_group_name_Hall '-P 4 2'
loop_
_atom_site_label
_atom_site_type_symbol
_atom_site_fract_x
_atom_site_fract_y
_atom_site_fract_z
Ta1 Ta 0.000 0.000 0.000
Ni1 Ni 0.500 0.500 0.500
S1 S 0.000 0.000 0.500
Cl1 Cl 0.000 0.500 0.000
```

***

(2)
TaNiSCl2 | PBE | optimized geometry

CIF file:
```
data_TaNiSCl2
_cell_length_a 4.399
_cell_length_b 4.399
_cell_length_c 4.706
_cell_angle_alpha 90.00
_cell_angle_beta 90.00
_cell_angle_gamma 90.00
_symmetry_space_group_name_H-M 'P 4/m m m'
_symmetry_Int_Tables_number 123
_symmetry_space_group_name_Hall '-P 4 2'
loop_
_atom_site_label
_atom_site_type_symbol
_atom_site_fract_x
_atom_site_fract_y
_atom_site_fract_z
Ta1 Ta 0.000 0.000 0.000
Ni1 Ni 0.500 0.500 0.500
S1 S 0.500 0.500 0.000
Cl1 Cl 0.000 0.500 0.500
```

***

Short version: (2) is the least stable of them.

***

(1)
TcNiSCl2 | PBE | optimized geometry

CIF file:
```
data_TcNiSCl2
_cell_length_a 4.490
_cell_length_b 4.490
_cell_length_c 4.791
_cell_angle_alpha 90.00
_cell_angle_beta 90.00
_cell_angle_gamma 90.00
_symmetry_space_group_name_H-M 'P 4/m m m'
_symmetry_Int_Tables_number 123
_symmetry_space_group_name_Hall '-P 4 2'
loop_
_atom_site_label
_atom_site_type_symbol
_atom_site_fract_x
_atom_site_fract_y
_atom_site_fract_z
Tc1 Tc 0.000 0.000 0.000
Ni1 Ni 0.500 0.500 0.500
S1 S 0.500 0.500 0.000
Cl1 Cl 0.000 0.500 0.500
```

***

(2)
TcNiSCl2 | PBE | optimized geometry

CIF file:
```
data_TcNiSCl2
_cell_length_a 4.934
_cell_length_b 4.934
_cell_length_c 4.437
_cell_angle_alpha 90.00
_cell_angle_beta 90.00
_cell_angle_gamma 90.00
_symmetry_space_group_name_H-M 'P 4/m m m'
_symmetry_Int_Tables_number 123
_symmetry_space_group_name_Hall '-P 4 2'
loop_
_atom_site_label
_atom_site_type_symbol
_atom_site_fract_x
_atom_site_fract_y
_atom_site_fract_z
Tc1 Tc 0.000 0.000 0.000
Ni1 Ni 0.500 0.500 0.500
S1 S 0.000 0.000 0.500
Cl1 Cl 0.000 0.500 0.000
```

***

Short version: (2) is the least stable of them.

***

(1)
TlNiSCl2 | PBE | optimized geometry

CIF file:
```
data_TlNiSCl2
_cell_length_a 5.257
_cell_length_b 5.257
_cell_length_c 5.184
_cell_angle_alpha 90.00
_cell_angle_beta 90.00
_cell_angle_gamma 90.00
_symmetry_space_group_name_H-M 'P 4/m m m'
_symmetry_Int_Tables_number 123
_symmetry_space_group_name_Hall '-P 4 2'
loop_
_atom_site_label
_atom_site_type_symbol
_atom_site_fract_x
_atom_site_fract_y
_atom_site_fract_z
Tl1 Tl 0.000 0.000 0.000
Ni1 Ni 0.500 0.500 0.500
S1 S 0.000 0.000 0.500
Cl1 Cl 0.000 0.500 0.000
```

***

(2)
TlNiSCl2 | PBE | optimized geometry

CIF file:
```
data_TlNiSCl2
_cell_length_a 5.065
_cell_length_b 5.065
_cell_length_c 4.366
_cell_angle_alpha 90.00
_cell_angle_beta 90.00
_cell_angle_gamma 90.00
_symmetry_space_group_name_H-M 'P 4/m m m'
_symmetry_Int_Tables_number 123
_symmetry_space_group_name_Hall '-P 4 2'
loop_
_atom_site_label
_atom_site_type_symbol
_atom_site_fract_x
_atom_site_fract_y
_atom_site_fract_z
Tl1 Tl 0.000 0.000 0.000
Ni1 Ni 0.500 0.500 0.500
S1 S 0.500 0.500 0.000
Cl1 Cl 0.000 0.500 0.500
```

***

Short version: (1) is the least stable of them.

***

(1)
VNiS2Cl | PBE | optimized geometry

CIF file:
```
data_VNiS2Cl
_cell_length_a 4.528
_cell_length_b 4.528
_cell_length_c 4.581
_cell_angle_alpha 90.00
_cell_angle_beta 90.00
_cell_angle_gamma 90.00
_symmetry_space_group_name_H-M 'P 4/m m m'
_symmetry_Int_Tables_number 123
_symmetry_space_group_name_Hall '-P 4 2'
loop_
_atom_site_label
_atom_site_type_symbol
_atom_site_fract_x
_atom_site_fract_y
_atom_site_fract_z
V1 V 0.000 0.000 0.000
Ni1 Ni 0.500 0.500 0.500
S1 S 0.000 0.500 0.000
Cl1 Cl 0.000 0.000 0.500
```

***

(2)
VNiS2Cl | PBE | optimized geometry

CIF file:
```
data_VNiS2Cl
_cell_length_a 4.479
_cell_length_b 4.479
_cell_length_c 4.405
_cell_angle_alpha 90.00
_cell_angle_beta 90.00
_cell_angle_gamma 90.00
_symmetry_space_group_name_H-M 'P 4/m m m'
_symmetry_Int_Tables_number 123
_symmetry_space_group_name_Hall '-P 4 2'
loop_
_atom_site_label
_atom_site_type_symbol
_atom_site_fract_x
_atom_site_fract_y
_atom_site_fract_z
V1 V 0.000 0.000 0.000
Ni1 Ni 0.500 0.500 0.500
S1 S 0.000 0.500 0.500
Cl1 Cl 0.500 0.500 0.000
```

***

Short version: (2) is the least stable of them.